## Ca2MgMnNi (PBE)

Data for crystalline Ca2MgMnNi at its relaxed geometry.

## Properties
The calculation puts the formation enthalpy at 0 K at 821 meV per atom. The value obtained for the total DFT energy (no corrections) is -16.4 eV/f.u.

Cell and atoms, written as extended XYZ:
```
5
Lattice="5.7941 0.0000 0.0000 0.0000 4.4174 0.0000 0.0000 0.0000 5.7941" Properties=species:S:1:pos:R:3 pbc="T T T"
Ni 0.0000 2.2087 0.0000
Ca 0.0000 0.0000 2.8971
Ca 2.8971 0.0000 0.0000
Mn 2.8971 2.2087 2.8971
Mg 0.0000 0.0000 0.0000
```